## TiIr2WF (PBE+U)

Data for a relaxed TiIr2WF crystal.

**ρ**: 12.40 g/cm³
**M_tot**: 2.16 Bohr magnetons per cell
**Crystal system**: tetragonal
**VASP energy**: -33.9 eV per cell

a = 4.7799 Å, b = 3.7239 Å, c = 4.7799 Å
α = 90.00°, β = 90.00°, γ = 90.00°
With the nearest neighbours (Å) after each atom.
Sites, in units of the cell vectors:
Ir  0.5000  0.0000  0.0000  2 Ti 2.39
W  0.5000  0.5000  0.5000  8 Ir 3.03, 4 F 3.38
Ir  0.0000  0.0000  0.5000  2 Ti 2.39
F  0.0000  0.5000  0.0000  2 Ti 1.86
Ti  0.0000  0.0000  0.0000  2 F 1.86